18
Lattice="2.9450 -7.4043 0.0000 2.9450 7.4043 0.0000 0.0000 0.0000 7.7786" Properties=species:S:1:pos:R:3 comment="Pu2As4Pd3, relaxed, DFT GGA-PBE" formation_enthalpy_0k_mev_per_atom=-666 spacegroup="Cmce, No. 64" crystal_system=orthorhombic pbc="T T T"
Pu 2.9450 5.7543 7.2022
Pu 2.9450 1.6501 3.3129
Pu 2.9450 -1.6501 4.4657
Pu 2.9450 -5.7543 0.5764
As 2.9450 4.7096 4.2352
As 1.4725 0.7054 5.8339
As 1.4725 -0.7054 1.9446
As 2.9450 2.6947 0.3459
As 2.9450 -2.6947 7.4327
As 4.4174 0.7054 5.8339
As 4.4174 -0.7054 1.9446
As 2.9450 -4.7096 3.5434
Pd 0.0000 0.0000 3.8893
Pd 1.4725 3.2506 5.8339
Pd 1.4725 -3.2506 1.9446
Pd 2.9450 0.0000 0.0000
Pd 4.4174 3.2506 5.8339
Pd 4.4174 -3.2506 1.9446


15
Lattice="6.0705 3.5048 3.6586 -6.0705 3.5048 3.6586 0.0000 -7.0096 3.6586" Properties=species:S:1:pos:R:3 comment="Tl6CuS8, relaxed, DFT GGA-PBE" spacegroup="R-3, No. 148" formation_energy_uncorrected_ev_per_fu=0.2 crystal_system=trigonal pbc="T T T"
Tl -1.2108 -2.0095 3.7259
Tl -1.1349 2.0534 3.7259
Tl -2.3457 0.0438 7.2498
Tl 2.3457 -0.0438 3.7259
Tl 1.1349 -2.0534 7.2498
Tl 1.2108 2.0095 7.2498
Cu 0.0000 0.0000 0.0000
S -2.9644 0.1347 4.4648
S 0.0000 0.0000 2.1100
S -1.5988 -2.5000 6.5108
S 1.3656 -2.6346 4.4648
S -1.3656 2.6346 6.5108
S 1.5988 2.5000 4.4648
S 0.0000 0.0000 8.8657
S 2.9645 -0.1347 6.5108


no.,total energy (eV for the cell shown)
1,-137.675
2,-51.114